# KAsPbF6, relaxed, DFT PBE-GGA
data_KAsPbF6
_cell_length_a 6.4627
_cell_length_b 6.4627
_cell_length_c 4.2877
_cell_angle_alpha 90.00
_cell_angle_beta 90.00
_cell_angle_gamma 120.00
_space_group_name_H-M_alt 'P 3'
_space_group_IT_number 143
loop_
_space_group_symop_operation_xyz
'x,y,z'
'-y,x-y,z'
'-x+y,-x,z'
loop_
_atom_site_label
_atom_site_type_symbol
_atom_site_fract_x
_atom_site_fract_y
_atom_site_fract_z
K1 K 0.0000 0.0000 0.0000
As1 As 0.6667 0.3333 0.3837
Pb1 Pb 0.3333 0.6667 0.5627
F1 F 0.0530 0.6485 0.2155
F2 F 0.4134 0.1292 0.6401
# * formation energy without anion corrections: -2.37 eV/atom
# * density: 4.7 g/cm3
# * Fermi-level density of states: 0.000 states/eV/cell